Ga2WO6 | GGA+U | relaxed

Summary:
* E: -0.485 Ry per atom
* calculated volume: 11.17 Å³/atom
* symmetry: P2/c (13)
* energy above the lowest structure with this stoichiometry: 0.048 eV/atom

Cell lengths 4.790, 7.271, 11.562 Å; angles 87.14, 90.00, 90.00 degrees
Fractional coordinates of all 36 atoms:
O 0.003 0.317 0.742
O 0.504 0.185 0.757
O 0.068 0.012 0.630
O 0.552 0.832 0.977
Ga 0.790 0.000 0.750
O 0.439 0.501 0.628
O 0.448 0.168 0.023
O 0.561 0.499 0.372
O 0.958 0.329 0.986
Ga 0.210 0.000 0.250
O 0.003 0.683 0.758
O 0.042 0.671 0.014
W 0.737 0.255 0.106
O 0.932 0.012 0.130
O 0.997 0.317 0.242
Ga 0.756 0.757 0.118
W 0.263 0.255 0.606
O 0.561 0.501 0.128
O 0.932 0.988 0.370
O 0.042 0.329 0.486
W 0.263 0.745 0.894
O 0.997 0.683 0.258
W 0.737 0.745 0.394
O 0.496 0.185 0.257
O 0.958 0.671 0.514
Ga 0.713 0.500 0.750
Ga 0.244 0.757 0.618
O 0.439 0.499 0.872
O 0.552 0.168 0.523
O 0.496 0.815 0.243
Ga 0.244 0.243 0.882
O 0.448 0.832 0.477
Ga 0.756 0.243 0.382
Ga 0.287 0.500 0.250
O 0.504 0.815 0.743
O 0.068 0.988 0.870

GaWO3 | GGA+U | relaxed

Summary:
* E: -0.476 Ry per atom
* calculated volume: 12.61 Å³/atom
* symmetry: Pm-3m (221)

Cell lengths 3.981, 3.981, 3.981 Å; angles 90.00, 90.00, 90.00 degrees
Site moments in Bohr magnetons follow the coordinates.
Fractional coordinates of all 5 atoms:
O 0.500 0.000 0.000  -0.12
O 0.000 0.000 0.500  -0.03
W 0.000 0.000 0.000  1.10
Ga 0.500 0.500 0.500  -0.01
O 0.000 0.500 0.000  -0.04

GaW2O8 | GGA+U | relaxed

Summary:
* E: -0.500 Ry per atom
* calculated volume: 16.72 Å³/atom
* symmetry: P-3m1 (164)

Cell lengths 6.431, 5.747, 5.747 Å; angles 120.00, 90.00, 90.00 degrees
Site moments in Bohr magnetons follow the coordinates.
Fractional coordinates of all 11 atoms:
O 0.952 0.333 0.667  0.19
O 0.323 0.161 0.321  0.12
Ga 0.500 0.000 0.000  -0.01
W 0.770 0.667 0.333  -0.09
O 0.677 0.839 0.679  0.12
O 0.323 0.679 0.839  0.12
O 0.677 0.321 0.161  0.12
O 0.323 0.161 0.839  0.12
W 0.230 0.333 0.667  -0.09
O 0.677 0.839 0.161  0.12
O 0.048 0.667 0.333  0.19

GaWO4 | GGA+U | relaxed

Summary:
* E: -0.495 Ry per atom
* calculated volume: 22.07 Å³/atom
* symmetry: I-4 (82)

Cell lengths 5.504, 5.504, 5.853 Å; angles 118.05, 118.05, 90.00 degrees
Site moments in Bohr magnetons follow the coordinates.
Fractional coordinates of all 6 atoms:
O 0.615 0.481 0.738  0.01
O 0.123 0.257 0.738  0.01
W 0.500 0.500 0.000  0.95
O 0.519 0.877 0.262  0.01
O 0.743 0.385 0.262  0.01
Ga 0.750 0.250 0.500  0.04

YGa2WO8 | GGA+U | relaxed

Summary:
* E: -0.514 Ry per atom
* calculated volume: 11.93 Å³/atom
* symmetry: Cmmm (65)

Cell lengths 4.712, 4.711, 6.447 Å; angles 90.00, 90.00, 89.79 degrees
Site moments in Bohr magnetons follow the coordinates.
Fractional coordinates of all 12 atoms:
W 0.000 0.000 0.000  -0.01
O 0.200 0.799 0.217  0.01
O 0.298 0.298 0.000  0.02
O 0.800 0.201 0.783  0.01
O 0.200 0.799 0.783  0.01
O 0.329 0.328 0.500  0.26
Y 0.000 0.000 0.500  0.03
Ga 0.500 0.500 0.758  -0.01
O 0.702 0.702 0.000  0.02
O 0.671 0.672 0.500  0.26
O 0.800 0.201 0.217  0.01
Ga 0.500 0.500 0.242  -0.01

The evaluated total moment for the records listed, in turn: 0.0, 1.0, 1.1, 1.0, 0.7 Bohr magnetons per cell.